DFT (PBE) results for crystalline Ta8Al5 at its relaxed geometry.

a = 9.8359 Å, b = 9.8359 Å, c = 9.8359 Å
α = 32.10°, β = 32.10°, γ = 32.10°
Fractional coordinates of all 13 atoms:
Ta: 0.0908 0.0908 0.5875
Ta: 0.0908 0.5875 0.0908
Ta: 0.1667 0.1667 0.1667
Ta: 0.4125 0.9092 0.9092
Ta: 0.5875 0.0908 0.0908
Ta: 0.8333 0.8333 0.8333
Ta: 0.9092 0.4125 0.9092
Ta: 0.9092 0.9092 0.4125
Al: 0.0000 0.0000 0.0000
Al: 0.3529 0.3529 0.3529
Al: 0.4517 0.4517 0.4517
Al: 0.5483 0.5483 0.5483
Al: 0.6471 0.6471 0.6471

**Distance to the lowest polymorph of the same formula**: 128 meV/atom
**SG**: R-3m, No. 166



DFT (PBE) results for crystalline GdLu2Ag4Ge4 at its relaxed geometry.

a = 8.3330 Å, b = 8.3330 Å, c = 8.3330 Å
α = 150.29°, β = 128.99°, γ = 60.16°
Fractional coordinates of all 11 atoms:
Gd: 0.0000 0.0000 0.0000
Lu: 0.3751 0.8751 0.5000
Lu: 0.6249 0.1249 0.5000
Ag: 0.0293 0.3306 0.6987
Ag: 0.3680 0.6694 0.6987
Ag: 0.6320 0.3306 0.3013
Ag: 0.9707 0.6694 0.3013
Ge: 0.2188 0.2188 0.0000
Ge: 0.3187 0.5000 0.8187
Ge: 0.6813 0.5000 0.1813
Ge: 0.7812 0.7812 0.0000

**Energy**: -4.4491 eV/atom
**SG**: Immm, No. 71



DFT (PBE) results for crystalline RbPrSO at its relaxed geometry.

a = 5.9585 Å, b = 5.9540 Å, c = 11.8224 Å
α = 90.00°, β = 104.32°, γ = 90.00°
Fractional coordinates of all 16 atoms:
Rb: 0.0468 0.9995 0.1025
Rb: 0.4534 0.0000 0.8975
Rb: 0.5466 0.5000 0.1025
Rb: 0.9532 0.4995 0.8975
Pr: 0.0500 0.2602 0.5996
Pr: 0.4499 0.2604 0.4003
Pr: 0.5501 0.7604 0.5997
Pr: 0.9500 0.7602 0.4004
S: 0.0985 0.4996 0.2131
S: 0.4013 0.4999 0.7877
S: 0.5987 0.9999 0.2123
S: 0.9015 0.9996 0.7869
O: 0.2499 0.0112 0.4998
O: 0.2503 0.5117 0.5002
O: 0.7497 0.0117 0.4998
O: 0.7501 0.5112 0.5002

**Distance to the lowest polymorph of the same formula**: 11 meV/atom
**SG**: P2_1, No. 4



DFT (PBE) results for crystalline HfZrAg2 at its relaxed geometry.

a = 3.4497 Å, b = 3.4497 Å, c = 6.6388 Å
α = 90.00°, β = 90.00°, γ = 90.00°
Fractional coordinates of all 4 atoms:
Hf: 0.0000 0.0000 0.0000
Zr: 0.5000 0.5000 0.7169
Ag: 0.0000 0.0000 0.4697
Ag: 0.5000 0.5000 0.2389

**Distance to the lowest polymorph of the same formula**: 0 meV/atom
**E_form**: -0.122 eV/atom
**SG**: P4mm, No. 99



DFT (PBE) results for crystalline PrCuAu at its relaxed geometry.

a = 5.8389 Å, b = 5.8389 Å, c = 5.8389 Å
α = 134.41°, β = 102.02°, γ = 95.27°
Fractional coordinates of all 6 atoms:
Pr: 0.0000 0.0000 0.0000
Pr: 0.5678 0.0678 0.5000
Cu: 0.4071 0.6990 0.7081
Cu: 0.9910 0.6990 0.2919
Au: 0.1514 0.3689 0.7825
Au: 0.5863 0.3689 0.2175

**Distance to the lowest polymorph of the same formula**: 0 meV/atom
**E_form**: -0.534 eV/atom
**SG**: Imm2, No. 44



DFT (PBE) results for crystalline InGaW4N2 at its relaxed geometry.

a = 2.8760 Å, b = 2.8760 Å, c = 15.1749 Å
α = 90.00°, β = 90.00°, γ = 120.00°
Fractional coordinates of all 8 atoms:
In: 0.0000 0.0000 0.0000
Ga: 0.3333 0.6667 0.5000
W: 0.0000 0.0000 0.3528
W: 0.0000 0.0000 0.6472
W: 0.3333 0.6667 0.1630
W: 0.3333 0.6667 0.8370
N: 0.6667 0.3333 0.2575
N: 0.6667 0.3333 0.7425

**Energy**: -9.0727 eV/atom
**SG**: P-6m2, No. 187